Record 1
Material: LaAs2Br
Method: DFT, PBE
State: optimized geometry

Cell lengths 3.969, 5.410, 9.482 Å; angles 90.00, 90.00, 90.00 degrees
Space group Imm2 (No. 44)
Asymmetric unit:
La1 0.000 0.000 0.000 x2
As1 0.000 0.000 0.502 x2
As2 0.000 0.500 0.168 x2
Br1 0.000 0.500 0.750 x2

Computed properties:
Polymorph energy (0 for the lowest one) (meV/atom): 86
Calculated total energy (eV per atom): -4.895
ΔE_f (raw) (eV/atom): -0.92
Total magnetization (μB per atom): 0.000

---

Record 2
Material: La4As3Br
Method: DFT, PBE
State: optimized geometry

Cell lengths 8.763, 12.349, 4.362 Å; angles 90.00, 90.00, 90.00 degrees
Space group Cmmm (No. 65)
Asymmetric unit:
La1 0.000 0.243 0.000 x4
La2 0.233 0.000 0.500 x4
As1 0.000 0.000 0.000 x2
As2 0.250 0.250 0.500 x4
Br1 0.000 0.500 0.000 x2

Computed properties:
Calculated total energy (eV per atom): -6.013
ΔE_f (raw) (eV/atom): -1.60
Total magnetization (μB per atom): 0.000

---

Record 3
Material: La4AsBr
Method: DFT, PBE
State: optimized geometry

Cell lengths 9.069, 9.069, 9.069 Å; angles 90.00, 90.00, 90.00 degrees
Space group F-43m (No. 216)
Asymmetric unit:
La1 0.123 0.123 0.123 x16
As1 0.250 0.250 0.750 x4
Br1 0.000 0.000 0.500 x4

Computed properties:
Calculated total energy (eV per atom): -4.441
ΔE_f (raw) (eV/atom): -0.10
Total magnetization (μB per atom): 0.001

---

Record 4
Material: LaAsBr3
Method: DFT, PBE
State: optimized geometry

Cell lengths 5.896, 5.896, 5.896 Å; angles 90.00, 90.00, 90.00 degrees
Space group Pm-3m (No. 221)
Asymmetric unit:
La1 0.000 0.000 0.000 x1
As1 0.500 0.500 0.500 x1
Br1 0.000 0.000 0.500 x3

Computed properties:
Calculated total energy (eV per atom): -3.865
ΔE_f (raw) (eV/atom): -0.95
Total magnetization (μB per atom): 0.600

---

Record 5
Material: LaAs2Br
Method: DFT, PBE
State: optimized geometry

Cell lengths 11.390, 3.779, 5.095 Å; angles 90.00, 100.58, 90.00 degrees
Space group C2/m (No. 12)
Asymmetric unit:
La1 0.000 0.000 0.000 x2
As1 0.239 0.500 0.156 x4
Br1 0.000 0.500 0.500 x2

Computed properties:
Polymorph energy (0 for the lowest one) (meV/atom): 0
Calculated total energy (eV per atom): -4.982
ΔE_f (raw) (eV/atom): -1.01
Total magnetization (μB per atom): 0.000

---

Record 6
Material: LaMgAsBr2
Method: DFT, PBE
State: optimized geometry

Cell lengths 5.737, 5.737, 5.982 Å; angles 90.00, 90.00, 90.00 degrees
Space group P4/mmm (No. 123)
Asymmetric unit:
La1 0.000 0.000 0.000 x1
Mg1 0.500 0.500 0.500 x1
As1 0.000 0.000 0.500 x1
Br1 0.000 0.500 0.000 x2

Computed properties:
Polymorph energy (0 for the lowest one) (meV/atom): 293
Calculated total energy (eV per atom): -3.586
ΔE_f (raw) (eV/atom): -0.68
Total magnetization (μB per atom): 0.000

---

Record 7
Material: LaMgAs2Br
Method: DFT, PBE
State: optimized geometry

Cell lengths 5.748, 5.748, 5.687 Å; angles 90.00, 90.00, 90.00 degrees
Space group P4/mmm (No. 123)
Asymmetric unit:
La1 0.000 0.000 0.000 x1
Mg1 0.500 0.500 0.500 x1
As1 0.000 0.500 0.000 x2
Br1 0.000 0.000 0.500 x1

Computed properties:
Polymorph energy (0 for the lowest one) (meV/atom): 540
Calculated total energy (eV per atom): -3.558
ΔE_f (raw) (eV/atom): -0.06
Total magnetization (μB per atom): 0.000

---

Record 8
Material: LaMgAsBr
Method: DFT, PBE
State: optimized geometry

Cell lengths 4.3591, 4.3591, 43.5729 Å; angles 90.00, 90.00, 120.00 degrees
Space group R-3m (No. 166, hexagonal axes)
Asymmetric unit:
La1 0.0000 0.0000 0.0825 x6
Mg1 0.0000 0.0000 0.3108 x6
As1 0.0000 0.0000 0.3738 x6
Br1 0.0000 0.0000 0.2092 x6

Computed properties:
Calculated total energy (eV per atom): -4.470
ΔE_f (raw) (eV/atom): -1.26
Total magnetization (μB per atom): 0.000

---

Record 9
Material: LaMgAsBr2
Method: DFT, PBE
State: optimized geometry

Cell lengths 4.949, 4.949, 5.599 Å; angles 90.00, 90.00, 90.00 degrees
Space group P4/mmm (No. 123)
Asymmetric unit:
La1 0.000 0.000 0.000 x1
Mg1 0.500 0.500 0.500 x1
As1 0.500 0.500 0.000 x1
Br1 0.000 0.500 0.500 x2

Computed properties:
Polymorph energy (0 for the lowest one) (meV/atom): 0
Calculated total energy (eV per atom): -3.879
ΔE_f (raw) (eV/atom): -0.98
Total magnetization (μB per atom): 0.000

---

Record 10
Material: LaMgAs2Br
Method: DFT, PBE
State: optimized geometry

Cell lengths 4.971, 4.971, 5.261 Å; angles 90.00, 90.00, 90.00 degrees
Space group P4/mmm (No. 123)
Asymmetric unit:
La1 0.000 0.000 0.000 x1
Mg1 0.500 0.500 0.500 x1
As1 0.000 0.500 0.500 x2
Br1 0.500 0.500 0.000 x1

Computed properties:
Polymorph energy (0 for the lowest one) (meV/atom): 0
Calculated total energy (eV per atom): -4.098
ΔE_f (raw) (eV/atom): -0.60
Total magnetization (μB per atom): 0.000

---

Record 11
Material: LaMnAs2Br
Method: DFT, PBE
State: optimized geometry

Cell lengths 4.810, 4.810, 5.096 Å; angles 90.00, 90.00, 90.00 degrees
Space group P4/mmm (No. 123)
Asymmetric unit:
La1 0.000 0.000 0.000 x1
Mn1 0.500 0.500 0.500 x1
As1 0.000 0.500 0.500 x2
Br1 0.500 0.500 0.000 x1

Computed properties:
Calculated total energy (eV per atom): -5.588
ΔE_f (raw) (eV/atom): -0.57
Total magnetization (μB per atom): 0.700

---

Record 12
Material: LaMoAs2Br
Method: DFT, PBE
State: optimized geometry

Cell lengths 4.864, 4.864, 5.280 Å; angles 90.00, 90.00, 90.00 degrees
Space group P4/mmm (No. 123)
Asymmetric unit:
La1 0.000 0.000 0.000 x1
Mo1 0.500 0.500 0.500 x1
As1 0.000 0.500 0.500 x2
Br1 0.500 0.500 0.000 x1

Computed properties:
Polymorph energy (0 for the lowest one) (meV/atom): 0
Calculated total energy (eV per atom): -5.690
ΔE_f (raw) (eV/atom): -0.34
Total magnetization (μB per atom): 0.001